This record from Alexandria describes FeRuOF2 after structural relaxation. The functional is PBE+U. Values from VASP.

Geometry as Quantum ESPRESSO input:
```
&SYSTEM
  ibrav = 0, nat = 5, ntyp = 4
/
ATOMIC_SPECIES
Fe 55.84 Fe.upf
O 16.00 O.upf
Ru 101.07 Ru.upf
F 19.00 F.upf
ATOMIC_POSITIONS angstrom
Fe 2.198 2.198 1.861
O 0.000 0.000 1.861
Ru 0.000 0.000 0.000
F 2.198 0.000 0.000
F 0.000 2.198 0.000
CELL_PARAMETERS angstrom
4.397 0.000 0.000
0.000 4.397 0.000
0.000 0.000 3.721
```

## Properties
The volume comes out at 72 Å³/cell. The calculated total energy is -5.41 eV/atom. The offset from the most stable computed form comes out at 28 meV/atom. As for the space group: P4/mmm (123).